No. 1
TeSe2NF: relaxed, GGA-PBE.

Cell and atoms, written as POSCAR:
```
TeSe2NF
1.0
-0.7192 3.4198 2.9773
-1.4684 -3.0277 3.1230
4.3479 -0.4693 1.5894
N F Se Te
1 1 2 1
Cartesian
2.1740 -0.2346 0.7947 N
0.0000 0.0000 0.0000 F
-0.3596 1.7099 1.4886 Se
-0.7342 -1.5139 1.5615 Se
1.0801 -0.0386 3.8448 Te
```

Output
Spin magnetization, μB/cell: 2.45
Raw formation energy, eV/atom: 1.18
Energy above the most stable polymorph in this dataset, eV per atom: 0.1895
V, Å³/atom: 19.6


No. 2
TeSeN2F: relaxed, GGA-PBE.

Cell and atoms, written as POSCAR:
```
TeSeN2F
1.0
-1.0080 -2.9548 -2.8178
3.2773 -2.3166 1.2568
-2.4070 -1.8727 2.8248
Se N Te F
1 2 1 1
Cartesian
-0.0688 -3.5720 0.6319 Se
1.6386 -1.1583 0.6284 N
-0.5040 -1.4774 -1.4089 N
0.0000 0.0000 0.0000 Te
-1.2035 -0.9363 1.4124 F
```

Output
Spin magnetization, μB/cell: 0.00
Raw formation energy, eV/atom: 1.07
Energy above the most stable polymorph in this dataset, eV per atom: 0.0000
V, Å³/atom: 14.7


No. 3
TeSeN2F: relaxed, GGA-PBE.

Cell and atoms, written as POSCAR:
```
TeSeN2F
1.0
4.5971 0.0000 0.0000
0.0000 4.3477 0.0000
0.0000 0.0000 4.5971
Se N F Te
1 2 1 1
Cartesian
2.2985 2.1738 2.2985 Se
0.0000 0.0000 2.2985 N
2.2985 0.0000 0.0000 N
0.0000 0.0000 0.0000 F
0.0000 2.1738 0.0000 Te
```

Output
Spin magnetization, μB/cell: 4.96
Raw formation energy, eV/atom: 1.93
Energy above the most stable polymorph in this dataset, eV per atom: 0.8620
V, Å³/atom: 18.4


No. 4
TeSeN2F: relaxed, GGA-PBE.

Cell and atoms, written as POSCAR:
```
TeSeN2F
1.0
-0.6735 2.6922 -2.6891
-3.7823 -0.7726 0.1738
-0.6356 4.0618 4.2258
Te Se N F
1 1 2 1
Cartesian
0.0000 0.0000 0.0000 Te
-0.3178 2.0309 2.1129 Se
-1.8911 -0.3863 0.0869 N
-0.3368 1.3461 -1.3445 N
-2.5457 2.9907 0.8553 F
```

Output
Spin magnetization, μB/cell: 0.31
Raw formation energy, eV/atom: 1.33
Energy above the most stable polymorph in this dataset, eV per atom: 0.2560
V, Å³/atom: 17.6


No. 5
TeSeNF2: relaxed, GGA-PBE.

Cell and atoms, written as POSCAR:
```
TeSeNF2
1.0
-0.9843 -3.7489 1.8978
4.2017 -0.8967 0.4078
0.0405 1.9625 3.8976
Te N F Se
1 1 2 1
Cartesian
0.0000 0.0000 0.0000 Te
0.0203 0.9813 1.9488 N
2.1008 -0.4484 0.2039 F
-0.4921 -1.8744 0.9489 F
1.6289 -1.3415 3.1016 Se
```

Output
Spin magnetization, μB/cell: 0.70
Raw formation energy, eV/atom: 0.11
Energy above the most stable polymorph in this dataset, eV per atom: 0.0000
V, Å³/atom: 16.3


No. 6
TeSe2NF: relaxed, GGA-PBE.

Cell and atoms, written as POSCAR:
```
TeSe2NF
1.0
5.4976 0.0000 0.0000
0.0000 5.4976 0.0000
0.0000 0.0000 4.0022
Se Te N F
2 1 1 1
Cartesian
2.7488 0.0000 0.0000 Se
0.0000 2.7488 0.0000 Se
0.0000 0.0000 0.0000 Te
0.0000 0.0000 2.0011 N
2.7488 2.7488 2.0011 F
```

Output
Spin magnetization, μB/cell: 3.33
Raw formation energy, eV/atom: 0.99
Energy above the most stable polymorph in this dataset, eV per atom: 0.0000
V, Å³/atom: 24.2


No. 7
Te2SeNF: relaxed, GGA-PBE.

Cell and atoms, written as POSCAR:
```
Te2SeNF
1.0
4.9895 0.0000 0.0000
0.0000 4.9895 0.0000
0.0000 0.0000 3.9016
Se Te F N
1 2 1 1
Cartesian
2.4948 2.4948 1.9508 Se
0.0000 2.4948 0.0000 Te
2.4948 0.0000 0.0000 Te
0.0000 0.0000 0.0000 F
0.0000 0.0000 1.9508 N
```

Output
Spin magnetization, μB/cell: 0.00
Raw formation energy, eV/atom: 1.14
Energy above the most stable polymorph in this dataset, eV per atom: 0.3100
V, Å³/atom: 19.4


No. 8
TiSe2NF: relaxed, GGA-PBE.

Cell and atoms, written as POSCAR:
```
TiSe2NF
1.0
-1.4579 -4.2883 0.0789
2.5946 -0.8154 3.6227
-2.8936 1.0261 2.3034
Se Ti N F
2 1 1 1
Cartesian
-0.7289 -2.1441 0.0395 Se
1.2973 -0.4077 1.8113 Se
-0.8784 -2.0388 3.0025 Ti
-1.4468 0.5130 1.1517 N
0.0000 0.0000 0.0000 F
```

Output
Spin magnetization, μB/cell: 0.09
Raw formation energy, eV/atom: 0.82
Energy above the most stable polymorph in this dataset, eV per atom: 0.8494
V, Å³/atom: 15.8